[1]
## AcPuNpO6 (PBE)

Data for a relaxed structure of AcPuNpO6.

Unit cell a=6.0663 b=6.0663 c=9.0622 alpha=90.00 beta=90.00 gamma=120.00
Last column: nearest neighbours and their distance in Å.
Positions (direct):
Ac (0.3333, 0.6667, 0.2500)  6 O 2.53
Ac (0.6667, 0.3333, 0.7500)  6 O 2.53
Pu (0.0000, 0.0000, 0.0000)  6 O 2.32
Pu (0.0000, 0.0000, 0.5000)  6 O 2.32
Np (0.3333, 0.6667, 0.7500)  6 O 2.13
Np (0.6667, 0.3333, 0.2500)  6 O 2.13
O (0.0499, 0.3555, 0.6256)  1 Np 2.13, 1 Pu 2.32
O (0.0499, 0.6944, 0.8744)  1 Np 2.13, 1 Pu 2.32
O (0.3056, 0.3555, 0.8744)  1 Np 2.13, 1 Pu 2.32
O (0.3056, 0.9501, 0.6256)  1 Np 2.13, 1 Pu 2.32
O (0.3555, 0.0499, 0.1256)  1 Np 2.13, 1 Pu 2.32
O (0.3555, 0.3056, 0.3744)  1 Np 2.13, 1 Pu 2.32
O (0.6445, 0.6944, 0.6256)  1 Np 2.13, 1 Pu 2.32
O (0.6445, 0.9501, 0.8744)  1 Np 2.13, 1 Pu 2.32
O (0.6944, 0.0499, 0.3744)  1 Np 2.13, 1 Pu 2.32
O (0.6944, 0.6445, 0.1256)  1 Np 2.13, 1 Pu 2.32
O (0.9501, 0.3056, 0.1256)  1 Np 2.13, 1 Pu 2.32
O (0.9501, 0.6445, 0.3744)  1 Np 2.13, 1 Pu 2.32

Calculated values
calculated density: 9.25 g/cm3
total DFT energy (no corrections): -0.359 Ha/atom
formation energy without anion corrections: -2976 meV per atom



[2]
## BaNd2Hg2Pb2 (PBE)

Data for a relaxed structure of BaNd2Hg2Pb2.

Unit cell a=10.2313 b=10.2313 c=10.2313 alpha=29.80 beta=29.80 gamma=29.80
Last column: nearest neighbours and their distance in Å.
Positions (direct):
Ba (0.0000, 0.0000, 0.0000)  6 Pb 3.75, 2 Nd 3.95
Nd (0.1347, 0.1347, 0.1347)  3 Hg 3.15, 3 Pb 3.51
Nd (0.8653, 0.8653, 0.8653)  3 Hg 3.15, 3 Pb 3.51
Hg (0.4399, 0.4399, 0.4399)  3 Nd 3.15, 3 Pb 3.18, 1 Hg 3.52
Hg (0.5601, 0.5601, 0.5601)  3 Nd 3.15, 3 Pb 3.18, 1 Hg 3.52
Pb (0.2585, 0.2585, 0.2585)  3 Hg 3.18, 3 Nd 3.51
Pb (0.7415, 0.7415, 0.7415)  3 Hg 3.18, 3 Nd 3.51

Calculated values
calculated density: 8.80 g/cm3
total DFT energy (no corrections): -0.115 Ha/atom
formation energy: -0.35 eV/atom



[3]
## Ca2NiGe4Pt3 (PBE)

Data for a relaxed structure of Ca2NiGe4Pt3.

Unit cell a=4.2667 b=4.2667 c=10.3190 alpha=90.00 beta=90.00 gamma=90.00
Last column: nearest neighbours and their distance in Å.
Positions (direct):
Ca (0.0000, 0.5000, 0.2467)  6 Pt 3.26-3.32, 8 Ge 3.27-3.37, 2 Ni 3.32
Ca (0.5000, 0.0000, 0.7533)  6 Pt 3.26-3.32, 8 Ge 3.27-3.37, 2 Ni 3.32
Ni (0.5000, 0.5000, 0.0000)  4 Ge 2.49
Ge (0.0000, 0.0000, 0.5000)  4 Pt 2.54
Ge (0.0000, 0.5000, 0.8763)  2 Ni 2.49, 3 Pt 2.49-2.50
Ge (0.5000, 0.0000, 0.1237)  2 Ni 2.49, 3 Pt 2.49-2.50
Ge (0.5000, 0.5000, 0.5000)  4 Pt 2.54
Pt (0.0000, 0.0000, 0.0000)  4 Ge 2.49
Pt (0.0000, 0.5000, 0.6344)  5 Ge 2.50-2.54
Pt (0.5000, 0.0000, 0.3656)  5 Ge 2.50-2.54

Calculated values
calculated density: 8.97 g/cm3
total DFT energy (no corrections): -0.197 Ha/atom
formation energy: -0.73 eV/atom



[4]
## Pm2B10Mo (PBE)

Data for a relaxed structure of Pm2B10Mo.

Unit cell a=5.8736 b=11.6762 c=4.1380 alpha=90.00 beta=90.00 gamma=90.00
Last column: nearest neighbours and their distance in Å.
Positions (direct):
Pm (0.2026, 0.1404, 0.0000)  20 B 2.90-3.23, 2 Mo 3.17
Pm (0.2974, 0.6404, 0.0000)  20 B 2.90-3.23, 2 Mo 3.17
Pm (0.7026, 0.3596, 0.0000)  20 B 2.90-3.23, 2 Mo 3.17
Pm (0.7974, 0.8596, 0.0000)  20 B 2.90-3.23, 2 Mo 3.17
B (0.0700, 0.3054, 0.5000)  4 B 1.69-1.80
B (0.1166, 0.9577, 0.5000)  4 B 1.69-1.82
B (0.1230, 0.8020, 0.5000)  5 B 1.69-1.82
B (0.2316, 0.3798, 0.2014)  4 B 1.67-1.78
B (0.2316, 0.3798, 0.7986)  4 B 1.67-1.78
B (0.2684, 0.8798, 0.2014)  4 B 1.67-1.78
B (0.2684, 0.8798, 0.7986)  4 B 1.67-1.78
B (0.3770, 0.3020, 0.5000)  5 B 1.69-1.82
B (0.3834, 0.4577, 0.5000)  4 B 1.69-1.82
B (0.4300, 0.8054, 0.5000)  4 B 1.69-1.80
B (0.5700, 0.1946, 0.5000)  4 B 1.69-1.80
B (0.6166, 0.5423, 0.5000)  4 B 1.69-1.82
B (0.6230, 0.6980, 0.5000)  5 B 1.69-1.82
B (0.7316, 0.1202, 0.2014)  4 B 1.67-1.78
B (0.7316, 0.1202, 0.7986)  4 B 1.67-1.78
B (0.7684, 0.6202, 0.2014)  4 B 1.67-1.78
B (0.7684, 0.6202, 0.7986)  4 B 1.67-1.78
B (0.8770, 0.1980, 0.5000)  5 B 1.69-1.82
B (0.8834, 0.0423, 0.5000)  4 B 1.69-1.82
B (0.9300, 0.6946, 0.5000)  4 B 1.69-1.80
Mo (0.0000, 0.5000, 0.5000)  8 B 2.31
Mo (0.5000, 0.0000, 0.5000)  8 B 2.31

Calculated values
calculated density: 5.78 g/cm3
total DFT energy (no corrections): -0.259 Ha/atom
formation energy: -0.34 eV/atom



[5]
## Pr3Ho2Er3 (PBE)

Data for a relaxed structure of Pr3Ho2Er3.

Unit cell a=10.7831 b=10.7831 c=10.7831 alpha=152.89 beta=152.70 gamma=38.85
Last column: nearest neighbours and their distance in Å.
Positions (direct):
Pr (0.0000, 0.0000, 0.0000)  8 Er 3.59-3.61, 4 Pr 3.60
Pr (0.3748, 0.8748, 0.5000)  4 Ho 3.58-3.59, 6 Er 3.59, 2 Pr 3.60
Pr (0.6252, 0.1252, 0.5000)  4 Ho 3.58-3.59, 6 Er 3.59, 2 Pr 3.60
Ho (0.2492, 0.2492, 0.0000)  4 Er 3.55-3.58, 4 Pr 3.58-3.59, 4 Ho 3.59
Ho (0.7508, 0.7508, 0.0000)  4 Er 3.55-3.58, 4 Pr 3.58-3.59, 4 Ho 3.59
Er (0.1269, 0.6269, 0.5000)  4 Ho 3.55-3.58, 6 Pr 3.59-3.61, 2 Er 3.62
Er (0.5000, 0.5000, 0.0000)  8 Pr 3.59, 4 Er 3.62
Er (0.8731, 0.3731, 0.5000)  4 Ho 3.55-3.58, 6 Pr 3.59-3.61, 2 Er 3.62

Calculated values
calculated density: 7.96 g/cm3
total DFT energy (no corrections): -0.170 Ha/atom
formation energy: 0.03 eV/atom
polymorph energy (0 for the lowest one): 0 meV per atom



[6]
## AcLa2Nd2Tm (PBE)

Data for a relaxed structure of AcLa2Nd2Tm.

Unit cell a=7.3291 b=5.8545 c=10.1753 alpha=90.00 beta=90.00 gamma=90.00
Last column: nearest neighbours and their distance in Å.
Positions (direct):
Ac (0.0000, 0.0000, 0.0000)  2 Ac 3.66, 4 Tm 3.85, 6 Nd 3.86-3.88, 2 La 3.86
Ac (0.5000, 0.0000, 0.0000)  2 Ac 3.66, 4 Tm 3.85, 6 Nd 3.86-3.88, 2 La 3.86
La (0.0000, 0.5000, 0.5000)  6 La 3.66-3.84, 6 Nd 3.83-3.84, 2 Tm 3.85
La (0.2500, 0.0000, 0.3343)  5 Nd 3.36-3.66
La (0.5000, 0.5000, 0.5000)  6 La 3.66-3.84, 6 Nd 3.83-3.84, 2 Tm 3.85
La (0.7500, 0.0000, 0.6657)  5 Nd 3.36-3.66
Nd (0.2500, 0.0000, 0.6642)  3 La 3.36-3.66, 2 Tm 3.39
Nd (0.2500, 0.5000, 0.1700)  2 La 3.37, 3 Tm 3.43-3.66
Nd (0.7500, 0.0000, 0.3358)  3 La 3.36-3.66, 2 Tm 3.39
Nd (0.7500, 0.5000, 0.8300)  2 La 3.37, 3 Tm 3.43-3.66
Tm (0.2500, 0.5000, 0.8329)  5 Nd 3.39-3.66
Tm (0.7500, 0.5000, 0.1671)  5 Nd 3.39-3.66

Calculated values
calculated density: 7.32 g/cm3
total DFT energy (no corrections): -0.169 Ha/atom
formation energy: 0.05 eV/atom



Question: Among the records above, which one has the highest calculated density?
Answer: AcPuNpO6



Question: Look up the total DFT energy (no corrections) of the first one.
Answer: -0.359 Ha/atom



Copy entry 6 word for word.
## AcLa2Nd2Tm (PBE)

Data for a relaxed structure of AcLa2Nd2Tm.

Unit cell a=7.3291 b=5.8545 c=10.1753 alpha=90.00 beta=90.00 gamma=90.00
Last column: nearest neighbours and their distance in Å.
Positions (direct):
Ac (0.0000, 0.0000, 0.0000)  2 Ac 3.66, 4 Tm 3.85, 6 Nd 3.86-3.88, 2 La 3.86
Ac (0.5000, 0.0000, 0.0000)  2 Ac 3.66, 4 Tm 3.85, 6 Nd 3.86-3.88, 2 La 3.86
La (0.0000, 0.5000, 0.5000)  6 La 3.66-3.84, 6 Nd 3.83-3.84, 2 Tm 3.85
La (0.2500, 0.0000, 0.3343)  5 Nd 3.36-3.66
La (0.5000, 0.5000, 0.5000)  6 La 3.66-3.84, 6 Nd 3.83-3.84, 2 Tm 3.85
La (0.7500, 0.0000, 0.6657)  5 Nd 3.36-3.66
Nd (0.2500, 0.0000, 0.6642)  3 La 3.36-3.66, 2 Tm 3.39
Nd (0.2500, 0.5000, 0.1700)  2 La 3.37, 3 Tm 3.43-3.66
Nd (0.7500, 0.0000, 0.3358)  3 La 3.36-3.66, 2 Tm 3.39
Nd (0.7500, 0.5000, 0.8300)  2 La 3.37, 3 Tm 3.43-3.66
Tm (0.2500, 0.5000, 0.8329)  5 Nd 3.39-3.66
Tm (0.7500, 0.5000, 0.1671)  5 Nd 3.39-3.66

Calculated values
calculated density: 7.32 g/cm3
total DFT energy (no corrections): -0.169 Ha/atom
formation energy: 0.05 eV/atom



Question: What is the formula in the second record?
Answer: BaNd2Hg2Pb2